No. 1
This record from Alexandria describes an optimized crystal structure of Zr2TiNb4. The functional is PBE.

Properties
DFT formation energy (eV per atom): 0.11
M_tot (Bohr magnetons per cell): 0.0
DOS at the Fermi energy (states/eV/cell): 21.3

abc: 3.340 25.562 3.288
angles: 90.00 90.00 90.00
Space group Cmmm (No. 65)
Asymmetric unit:
Zr  0.000  0.196  0.000
Ti  0.000  0.500  0.500
Nb  0.000  0.066  0.000
Nb  0.000  0.375  0.500

=====

No. 2
This record from Alexandria describes an optimized crystal structure of KMgCdHg3. The functional is PBE.

Properties
DFT formation energy (eV per atom): -0.09
M_tot (Bohr magnetons per cell): 0.0
DOS at the Fermi energy (states/eV/cell): 10.1

abc: 7.406 14.265 6.920
angles: 90.00 90.00 90.00
Space group Cmcm (No. 63)
Asymmetric unit:
K  0.000  0.206  0.250
Mg  0.000  0.457  0.250
Cd  0.000  0.135  0.750
Hg  0.000  0.339  0.750
Hg  0.209  0.000  0.000

=====

No. 3
This record from Alexandria describes an optimized crystal structure of MgVGaIr. The functional is PBE.

Properties
DFT formation energy (eV per atom): -0.25
M_tot (Bohr magnetons per cell): 2.9
DOS at the Fermi energy (states/eV/cell): 10.0

abc: 6.203 6.203 6.203
angles: 90.00 90.00 90.00
Space group F-43m (No. 216)
Asymmetric unit:
Mg  0.000  0.000  0.000
V  0.000  0.000  0.500
Ga  0.250  0.250  0.750
Ir  0.250  0.250  0.250

=====

No. 4
This record from Alexandria describes an optimized crystal structure of LiCdPd2O. The functional is PBE.

Properties
M_tot (Bohr magnetons per cell): 0.0
DOS at the Fermi energy (states/eV/cell): 1.4
Formation energy without anion corrections (eV/atom): 0.388

abc: 5.188 5.188 4.058
angles: 90.00 90.00 90.00
Space group P4/mmm (No. 123)
Asymmetric unit:
Li  0.000  0.000  0.000
Cd  0.500  0.500  0.500
Pd  0.000  0.500  0.500
O  0.500  0.500  0.000

=====

No. 5
This record from Alexandria describes an optimized crystal structure of Cs2NaInF6. The functional is PBE.

Properties
M_tot (Bohr magnetons per cell): 0.1
DOS at the Fermi energy (states/eV/cell): 0.0
Formation energy without anion corrections (eV/atom): -2.758

abc: 9.057 9.057 9.057
angles: 90.00 90.00 90.00
Space group Fm-3m (No. 225)
Asymmetric unit:
Cs  0.250  0.250  0.250
Na  0.000  0.000  0.000
In  0.000  0.000  0.500
F  0.000  0.000  0.265

=====

No. 6
This record from Alexandria describes an optimized crystal structure of ReSiBi2W. The functional is PBE.

Properties
M_tot (Bohr magnetons per cell): 3.6
DOS at the Fermi energy (states/eV/cell): 5.0
Formation energy without anion corrections (eV/atom): 1.937

abc: 5.226 5.226 4.564
angles: 90.00 90.00 90.00
Space group P4/mmm (No. 123)
Asymmetric unit:
Re  0.000  0.000  0.000
Si  0.500  0.500  0.500
Bi  0.000  0.500  0.500
W  0.500  0.500  0.000

=====

No. 7
This record from Alexandria describes an optimized crystal structure of TaNi12Sn3. The functional is PBE.

Properties
DFT formation energy (eV per atom): -0.24
M_tot (Bohr magnetons per cell): 0.0
DOS at the Fermi energy (states/eV/cell): 4.0

abc: 3.723 3.723 14.819
angles: 90.00 90.00 90.00
Space group P4/mmm (No. 123)
Asymmetric unit:
Ta  0.000  0.000  0.000
Ni  0.000  0.500  0.119
Ni  0.000  0.500  0.374
Ni  0.500  0.500  0.000
Ni  0.500  0.500  0.246
Ni  0.500  0.500  0.500
Sn  0.000  0.000  0.249
Sn  0.000  0.000  0.500